Entry 1:
{
  "formula": "NaCu2As",
  "functional": "PBE",
  "state": "relaxed",
  "lattice": [[-3.013, -2.050, -3.297], [-1.699, -3.057, 3.453], [-7.885, 2.605, 1.923]],
  "species": ["Na", "Cu", "Cu", "Cu", "Na", "As", "As", "Cu"],
  "fractional_positions": [[0.250, 0.750, 0.500], [0.875, 0.125, 0.750], [0.875, 0.125, 0.250], [0.875, 0.625, 0.250], [0.500, 0.500, 0.000], [0.750, 0.250, 0.500], [0.000, 0.000, 0.000], [0.375, 0.125, 0.750]],
  "formation_enthalpy_0k_mev_per_atom": -19,
  "spacegroup": "No. 141",
  "m_tot_mub_per_cell": 0.00
}

=====

Entry 2:
{
  "formula": "ReSiBr",
  "functional": "PBE",
  "state": "relaxed",
  "lattice": [[-3.193, 0.058, 0.594], [1.354, -2.628, -1.346], [0.956, -2.253, 5.361]],
  "species": ["Br", "Re", "Si"],
  "fractional_positions": [[0.000, 0.000, 0.008], [0.667, 0.333, 0.371], [0.333, 0.667, 0.621]],
  "de_polymorph_ev_per_fu": 0.50,
  "spacegroup": "No. 156",
  "m_tot_mub_per_cell": 0.00,
  "raw_formation_energy_ev_per_atom": 0.549
}

=====

Entry 3:
{
  "formula": "NbBiRh",
  "functional": "PBE",
  "state": "relaxed",
  "lattice": [[3.456, 0.000, 0.000], [-1.728, 2.987, 0.000], [0.000, 0.000, 12.041]],
  "species": ["Rh", "Bi", "Nb", "Bi", "Nb", "Rh"],
  "fractional_positions": [[0.611, 0.222, 0.000], [0.611, 0.223, 0.663], [0.277, 0.555, 0.141], [0.611, 0.223, 0.337], [0.277, 0.555, 0.859], [0.278, 0.556, 0.500]],
  "formation_enthalpy_0k_mev_per_atom": 195,
  "spacegroup": "No. 187",
  "m_tot_mub_per_cell": 0.00
}

=====

Entry 4:
{
  "formula": "NaLi2Rh2",
  "functional": "PBE",
  "state": "relaxed",
  "lattice": [[4.559, 0.000, 0.000], [0.000, 4.559, 0.000], [2.280, 2.280, 4.192]],
  "species": ["Li", "Na", "Rh", "Rh", "Li"],
  "fractional_positions": [[0.250, 0.750, 0.500], [0.000, 0.000, 0.000], [0.355, 0.355, 0.291], [0.645, 0.645, 0.709], [0.750, 0.250, 0.500]],
  "de_polymorph_ev_per_fu": 1.42,
  "formation_enthalpy_0k_mev_per_atom": 351,
  "spacegroup": "No. 139",
  "m_tot_mub_per_cell": 0.99
}

=====

Entry 5:
{
  "formula": "Ag2AuSe",
  "functional": "PBE",
  "state": "relaxed",
  "lattice": [[5.356, -0.080, -0.027], [-2.120, 4.919, -0.027], [0.017, 0.025, 2.875]],
  "species": ["Ag", "Au", "Se", "Ag"],
  "fractional_positions": [[0.000, 0.000, 0.000], [0.500, 0.000, 0.500], [0.000, 0.500, 0.500], [0.500, 0.500, 0.000]],
  "spacegroup": "No. 65",
  "m_tot_mub_per_cell": 0.00,
  "raw_formation_energy_ev_per_atom": 0.093
}

=====

Entry 6:
{
  "formula": "NaTlSn",
  "functional": "PBE",
  "state": "relaxed",
  "lattice": [[4.346, -2.509, 0.000], [0.000, 5.018, 0.000], [0.000, 0.000, 8.101]],
  "species": ["Na", "Tl", "Sn", "Tl", "Na", "Sn"],
  "fractional_positions": [[0.667, 0.333, 0.000], [0.333, 0.667, 0.805], [0.000, 0.000, 0.312], [0.333, 0.667, 0.195], [0.667, 0.333, 0.500], [0.000, 0.000, 0.688]],
  "formation_enthalpy_0k_mev_per_atom": -101,
  "spacegroup": "No. 187",
  "m_tot_mub_per_cell": 0.00
}

=====

Q: Number 2 is which compound?
A: ReSiBr